The following is a DFT calculation (PBE) of a relaxed Sn2AuN2 crystal.

## Properties
Formation energy from raw total energies ... 0.051 eV per atom
Density of states at the Fermi level ... 0.154 states/eV/atom

Cell lengths 3.264, 3.263, 15.348 Å; angles 69.02, 95.94, 120.00 degrees
Fractional coordinates of all 5 atoms:
Sn (0.256, 0.350, 0.164)
Sn (0.744, 0.650, 0.836)
Au (0.000, 0.000, 0.000)
N (0.476, 0.429, 0.539)
N (0.524, 0.571, 0.461)